(1)
The following is a DFT calculation (PBE) of a relaxed structure of YCo4Ag.

## Properties
Electronic total energy ... -6.333 eV per atom
Crystal system ... cubic
Symmetry ... F-43m (216)

POSCAR file:
```
YCo4Ag
1.0
1.1715 -3.6163 3.2107
-2.6159 -0.5438 4.1977
-3.0269 -3.9099 0.5563
Y Co Ag
1 4 1
direct
0.7500 0.7500 0.7500 Y
0.8765 0.3745 0.3745 Co
0.3745 0.3745 0.8765 Co
0.3745 0.8765 0.3745 Co
0.3745 0.3745 0.3745 Co
0.0000 0.0000 0.0000 Ag
```

=====

(2)
The following is a DFT calculation (PBE) of a relaxed structure of Y5CoAg.

## Properties
Electronic total energy ... -6.066 eV per atom
Crystal system ... monoclinic
Symmetry ... C2/c (15)

POSCAR file:
```
Y5CoAg
1.0
6.6973 0.5992 0.0220
2.6930 6.1612 0.0220
3.4568 2.4886 9.9757
Y Co Ag
10 2 2
direct
0.9560 0.6135 0.1366 Y
0.2142 0.5582 0.5202 Y
0.6135 0.9560 0.6366 Y
0.9600 0.0400 0.2500 Y
0.4418 0.7858 0.9798 Y
0.5582 0.2142 0.0202 Y
0.0400 0.9600 0.7500 Y
0.3865 0.0440 0.3634 Y
0.7858 0.4418 0.4798 Y
0.0440 0.3865 0.8634 Y
0.0000 0.0000 0.0000 Co
0.0000 0.0000 0.5000 Co
0.5096 0.4904 0.2500 Ag
0.4904 0.5096 0.7500 Ag
```

=====

(3)
The following is a DFT calculation (PBE) of a relaxed structure of Y2CoAg.

## Properties
Electronic total energy ... -5.665 eV per atom
Crystal system ... tetragonal
Symmetry ... P4mm (99)

POSCAR file:
```
Y2CoAg
1.0
3.5174 -0.0108 0.0000
0.0110 3.5174 0.0000
0.0000 0.0000 7.4136
Ag Co Y
1 1 2
direct
0.0000 0.0000 0.5401 Ag
0.5000 0.5000 0.7233 Co
0.0000 0.0000 0.9306 Y
0.5000 0.5000 0.3060 Y
```

=====

(4)
The following is a DFT calculation (PBE) of a relaxed structure of Y4CoAg.

## Properties
Electronic total energy ... -6.190 eV per atom
Crystal system ... cubic
Energy relative to the lowest polymorph listed for this composition ... 0 meV/atom
Symmetry ... F-43m (216)

POSCAR file:
```
Y4CoAg
1.0
8.1857 0.0000 4.7260
2.7286 7.7176 4.7260
0.0000 0.0000 9.4521
Y Co Ag
16 4 4
direct
0.4015 0.4015 0.4015 Y
0.7955 0.4015 0.4015 Y
0.4015 0.7955 0.4015 Y
0.4015 0.4015 0.7955 Y
0.5615 0.5615 0.9385 Y
0.9385 0.9385 0.5615 Y
0.5615 0.9385 0.5615 Y
0.9385 0.5615 0.9385 Y
0.9385 0.5615 0.5615 Y
0.5615 0.9385 0.9385 Y
0.1877 0.1877 0.8123 Y
0.8123 0.8123 0.1877 Y
0.1877 0.8123 0.1877 Y
0.8123 0.1877 0.8123 Y
0.8123 0.1877 0.1877 Y
0.1877 0.8123 0.8123 Y
0.6086 0.6086 0.6086 Co
0.1743 0.6086 0.6086 Co
0.6086 0.1743 0.6086 Co
0.6086 0.6086 0.1743 Co
0.1690 0.1690 0.1690 Ag
0.4930 0.1690 0.1690 Ag
0.1690 0.4930 0.1690 Ag
0.1690 0.1690 0.4930 Ag
```

=====

(5)
The following is a DFT calculation (PBE) of a relaxed structure of Y2CoAg.

## Properties
Electronic total energy ... -5.659 eV per atom
Crystal system ... tetragonal
Symmetry ... I-4m2 (119)

POSCAR file:
```
Y2CoAg
1.0
-1.3663 0.2673 -5.6240
-1.9660 -4.7652 -2.6447
-1.0885 2.9944 4.8390
Ag Co Y
1 1 2
direct
0.5000 0.5000 0.0000 Ag
0.7500 0.2500 0.5000 Co
0.0000 0.0000 0.0000 Y
0.2500 0.7500 0.5000 Y
```

=====

(6)
The following is a DFT calculation (PBE) of a relaxed structure of Y2CoAg.

## Properties
Electronic total energy ... -5.646 eV per atom
Crystal system ... trigonal
Symmetry ... R3m (160)

POSCAR file:
```
Y2CoAg
1.0
-5.6527 -2.6062 -2.6093
-2.6757 -5.7237 -2.3734
-4.8519 -4.5451 1.1639
Ag Co Y
1 1 2
direct
0.4565 0.4565 0.4565 Ag
0.7937 0.7937 0.7937 Co
0.0330 0.0330 0.0330 Y
0.2168 0.2168 0.2168 Y
```

=====

(7)
The following is a DFT calculation (PBE) of a relaxed structure of Y2CoAg.

## Properties
Electronic total energy ... -5.800 eV per atom
Crystal system ... monoclinic
Symmetry ... C2/m (12)

POSCAR file:
```
Y2CoAg
1.0
-1.7048 3.3284 -0.9160
-3.8084 0.1337 -0.5493
-2.8151 2.6352 6.8075
Ag Co Y
1 1 2
direct
0.2500 0.2500 0.2500 Ag
0.7500 0.7500 0.7500 Co
0.0168 0.0168 0.9504 Y
0.4832 0.4832 0.5496 Y
```

=====

(8)
The following is a DFT calculation (PBE) of a relaxed structure of Y2CoAg.

## Properties
Electronic total energy ... -5.688 eV per atom
Crystal system ... tetragonal
Symmetry ... P4mm (99)

POSCAR file:
```
Y2CoAg
1.0
3.8995 0.0000 0.0000
0.0000 3.8975 0.0000
0.0000 0.0000 6.1543
Ag Co Y
1 1 2
direct
0.0000 0.0000 0.4601 Ag
0.5000 0.5000 0.8303 Co
0.0000 0.0000 0.9229 Y
0.5000 0.5000 0.2867 Y
```

=====

(9)
The following is a DFT calculation (PBE) of a relaxed structure of YZrCoAg.

## Properties
Electronic total energy ... -6.309 eV per atom
Crystal system ... cubic
Symmetry ... F-43m (216)

POSCAR file:
```
YZrCoAg
1.0
-2.0690 -2.5505 3.5467
2.1949 -3.9387 1.7420
1.9001 0.0583 4.4443
Y Co Zr Ag
1 1 1 1
direct
0.7500 0.7500 0.7500 Y
0.5000 0.5000 0.5000 Co
0.2500 0.2500 0.2500 Zr
0.0000 0.0000 0.0000 Ag
```

=====

(10)
The following is a DFT calculation (PBE) of a relaxed structure of ZnCo2Ag.

## Properties
Electronic total energy ... -4.338 eV per atom
Crystal system ... orthorhombic
Symmetry ... Imm2 (44)

POSCAR file:
```
ZnCo2Ag
1.0
-1.8564 2.7581 -3.7502
-4.9532 0.7639 0.0090
4.3256 0.6351 2.4502
Ag Co Zn
1 2 1
direct
0.7542 0.2542 0.5000 Ag
0.0228 0.0228 0.0000 Co
0.2363 0.7363 0.5000 Co
0.4867 0.4867 0.0000 Zn
```

=====

(11)
The following is a DFT calculation (PBE) of a relaxed structure of Zn2CoAg.

## Properties
Electronic total energy ... -3.042 eV per atom
Crystal system ... cubic
Energy relative to the lowest polymorph listed for this composition ... 96 meV/atom
Symmetry ... Fm-3m (225)

POSCAR file:
```
Zn2CoAg
1.0
-3.6271 -0.6553 2.1995
-2.4887 3.3276 1.0753
-3.8010 0.5451 -1.9178
Zn Co Ag
2 1 1
direct
0.2500 0.2500 0.2500 Zn
0.7500 0.7500 0.7500 Zn
0.0000 0.0000 0.0000 Co
0.5000 0.5000 0.5000 Ag
```

=====

(12)
The following is a DFT calculation (PBE) of a relaxed structure of Zn10CoAg6.

## Properties
Electronic total energy ... -2.112 eV per atom
Crystal system ... trigonal
Symmetry ... P-31m (162)

POSCAR file:
```
Zn10CoAg6
1.0
5.2722 0.0000 0.0000
0.0000 6.7095 -3.8737
0.0000 0.0000 7.7475
Zn Co Ag
10 1 6
direct
0.7899 0.7510 0.7510 Zn
0.7899 0.0000 0.2490 Zn
0.7899 0.2490 0.0000 Zn
0.2101 0.2490 0.2490 Zn
0.2101 0.0000 0.7510 Zn
0.2101 0.7510 0.0000 Zn
0.5000 0.3333 0.6667 Zn
0.5000 0.6667 0.3333 Zn
0.0000 0.6667 0.3333 Zn
0.0000 0.3333 0.6667 Zn
0.5000 0.0000 0.0000 Co
0.7290 0.3880 0.3880 Ag
0.7290 0.0000 0.6120 Ag
0.7290 0.6120 0.0000 Ag
0.2710 0.6120 0.6120 Ag
0.2710 0.0000 0.3880 Ag
0.2710 0.3880 0.0000 Ag
```

=====

> electronic total energy of number 3 (Y2CoAg)?

-5.665 eV per atom

=====

> Which formula does entry 6 have?

Y2CoAg

=====

> Among the records above, which one has the highest electronic total energy?

Zn10CoAg6

=====

> Number 10 is which compound?

ZnCo2Ag